1.
Density functional theory data (PBE-GGA) for a geometry-optimized BaCd2Tc structure.

Cell lengths 6.483, 6.483, 6.483 Å; angles 149.62, 130.80, 58.93 degrees
Site moments in Bohr magnetons follow the coordinates.
Fractional positions:
Ba 0.250 0.750 0.500  -0.02
Cd 0.954 0.954 0.000  -0.01
Cd 0.546 0.546 0.000  -0.01
Tc 0.750 0.250 0.500  1.41

Calculated values
- Total moment: 0.355 μB/atom
- Energy above the most stable polymorph in this dataset: 82 meV/atom
- Energy of formation from the pure elements: 0.4726 eV per atom
- Space-group type: Immm, No. 71
- Final energy: -12.23 eV per cell

2.
Density functional theory data (PBE-GGA) for a geometry-optimized BaCdTc2 structure.

Cell lengths 4.956, 4.956, 4.956 Å; angles 120.15, 120.15, 89.73 degrees
Fractional positions:
Ba 0.500 0.500 0.000
Cd 0.750 0.250 0.500
Tc 0.000 0.000 0.000
Tc 0.250 0.750 0.500

Calculated values
- Total moment: 0.000 μB/atom
- Energy of formation from the pure elements: 1.0766 eV per atom
- Space-group type: I-4m2, No. 119
- Final energy: -19.26 eV per cell

3.
Density functional theory data (PBE-GGA) for a geometry-optimized BaCdTc2 structure.

Cell lengths 5.671, 5.908, 2.962 Å; angles 77.23, 86.46, 117.68 degrees
Site moments in Bohr magnetons follow the coordinates.
Fractional positions:
Ba 0.000 0.500 0.500  0.01
Cd 0.500 0.500 0.000  -0.01
Tc 0.000 0.000 0.000  0.93
Tc 0.500 0.000 0.500  0.93

Calculated values
- Total moment: 0.507 μB/atom
- Energy of formation from the pure elements: 1.1339 eV per atom
- Space-group type: C2/m, No. 12
- Final energy: -19.03 eV per cell

4.
Density functional theory data (PBE-GGA) for a geometry-optimized BaCd3Tc structure.

Cell lengths 6.324, 6.324, 6.324 Å; angles 90.00, 90.00, 90.00 degrees
Site moments in Bohr magnetons follow the coordinates.
Fractional positions:
Tc 0.500 0.500 0.500  3.77
Ba 0.000 0.000 0.000  -0.15
Cd 0.000 0.500 0.000  -0.03
Cd 0.000 0.000 0.500  -0.01
Cd 0.500 0.000 0.000  -0.04

Calculated values
- Total moment: 0.709 μB/atom
- Energy above the most stable polymorph in this dataset: 1397 meV/atom
- Energy of formation from the pure elements: 1.6092 eV per atom
- Space-group type: Pm-3m, No. 221
- Final energy: -6.99 eV per cell

5.
Density functional theory data (PBE-GGA) for a geometry-optimized Ba2Cd2Tc structure.

Cell lengths 4.002, 4.002, 10.948 Å; angles 79.47, 79.47, 90.00 degrees
Site moments in Bohr magnetons follow the coordinates.
Fractional positions:
Tc 0.000 0.000 0.000  1.89
Ba 0.408 0.408 0.184  -0.04
Ba 0.592 0.592 0.816  -0.04
Cd 0.750 0.250 0.500  0.00
Cd 0.250 0.750 0.500  0.00

Calculated values
- Total moment: 0.385 μB/atom
- Energy above the most stable polymorph in this dataset: 0 meV/atom
- Energy of formation from the pure elements: 0.5196 eV per atom
- Space-group type: I4/mmm, No. 139
- Final energy: -13.44 eV per cell

6.
Density functional theory data (PBE-GGA) for a geometry-optimized BaCd2Tc structure.

Cell lengths 5.716, 5.716, 5.716 Å; angles 131.89, 131.89, 70.41 degrees
Site moments in Bohr magnetons follow the coordinates.
Fractional positions:
Ba 0.750 0.250 0.500  -0.03
Cd 0.000 0.000 0.000  -0.03
Cd 0.500 0.500 0.000  -0.03
Tc 0.250 0.750 0.500  1.79

Calculated values
- Total moment: 0.461 μB/atom
- Energy above the most stable polymorph in this dataset: 181 meV/atom
- Energy of formation from the pure elements: 0.5723 eV per atom
- Space-group type: I4/mmm, No. 139
- Final energy: -11.83 eV per cell

7.
Density functional theory data (PBE-GGA) for a geometry-optimized BaCd2Tc structure.

Cell lengths 5.313, 5.313, 5.313 Å; angles 60.00, 60.00, 60.00 degrees
Site moments in Bohr magnetons follow the coordinates.
Fractional positions:
Ba 0.500 0.500 0.500  0.01
Cd 0.000 0.000 0.000  -0.03
Cd 0.250 0.250 0.250  -0.01
Tc 0.750 0.750 0.750  2.35

Calculated values
- Total moment: 0.642 μB/atom
- Energy above the most stable polymorph in this dataset: 295 meV/atom
- Energy of formation from the pure elements: 0.6857 eV per atom
- Space-group type: F-43m, No. 216
- Final energy: -11.38 eV per cell

8.
Density functional theory data (PBE-GGA) for a geometry-optimized BaCdTc2 structure.

Cell lengths 8.237, 8.237, 6.486 Å; angles 50.58, 50.58, 90.00 degrees
Site moments in Bohr magnetons follow the coordinates.
Fractional positions:
Tc 0.585 0.125 0.250  1.04
Tc 0.165 0.625 0.250  1.04
Tc 0.375 0.415 0.750  1.04
Tc 0.875 0.835 0.750  1.04
Ba 0.000 0.000 0.000  -0.02
Ba 0.750 0.250 0.500  -0.02
Cd 0.500 0.500 0.000  -0.02
Cd 0.250 0.750 0.500  -0.02

Calculated values
- Total moment: 0.570 μB/atom
- Energy of formation from the pure elements: 1.4149 eV per atom
- Space-group type: I-42d, No. 122
- Final energy: -35.82 eV per cell

Q: The lowest energy of formation from the pure elements belongs to which entry?
A: number 1

Q: Which value of total moment does entry 4 give?
A: 0.709 μB/atom